## Cu2TcOF (PBE)

Data for crystalline Cu2TcOF at its relaxed geometry.

The value obtained for the spin magnetization is 1.67 μB/f.u. The theoretical density comes out at 4.99 Mg/m³. For the uncorrected formation energy, the calculation gives 0.907 eV/atom. The crystal system is tetragonal.

The space group is P4/mmm (No. 123) and the conventional cell measures 4.731, 4.731 and 3.869 Å, with angles of 90.00, 90.00 and 90.00 degrees. The asymmetric unit holds Cu at (0.000, 0.500, 0.000), Tc at (0.000, 0.000, 0.000), O at (0.500, 0.500, 0.500) and F at (0.000, 0.000, 0.500).